Computed, not measured: a relaxed SbPtSe crystal at the PBE-GGA level of DFT.

abc: 4.5917 4.5917 4.5917
angles: 60.00 60.00 60.00
Sites, in units of the cell vectors:
1 Sb 0.0000 0.0000 0.0000
2 Pt 0.2500 0.2500 0.2500
3 Se 0.5000 0.5000 0.5000

Summary:
Size of the total moment, μB per formula unit: 0.0
Uncorrected formation energy, eV/atom: -0.20

=====

Computed, not measured: a relaxed SbPt2Se crystal at the PBE-GGA level of DFT.

abc: 4.7257 4.7257 4.7257
angles: 110.81 110.81 106.82
Sites, in units of the cell vectors:
1 Sb 0.0000 0.0000 0.0000
2 Pt 0.0000 0.5000 0.5000
3 Pt 0.5000 0.0000 0.5000
4 Se 0.5000 0.5000 0.0000

Summary:
Size of the total moment, μB per formula unit: 0.0
Relative energy among the computed polymorphs, eV/atom: 0.1895
Uncorrected formation energy, eV/atom: -0.08

=====

Computed, not measured: a relaxed SbPt2Se crystal at the PBE-GGA level of DFT.

abc: 3.5929 3.5929 6.3124
angles: 90.00 90.00 90.00
Sites, in units of the cell vectors:
1 Sb 0.0000 0.0000 0.0000
2 Pt 0.0000 0.0000 0.5513
3 Pt 0.5000 0.5000 0.8221
4 Se 0.5000 0.5000 0.4295

Summary:
Size of the total moment, μB per formula unit: 0.0
Relative energy among the computed polymorphs, eV/atom: 0.1230
Uncorrected formation energy, eV/atom: -0.14

=====

Computed, not measured: a relaxed SbPt2Se crystal at the PBE-GGA level of DFT.

abc: 4.7462 4.7462 4.7462
angles: 60.00 60.00 60.00
Sites, in units of the cell vectors:
1 Sb 0.0000 0.0000 0.0000
2 Pt 0.5000 0.5000 0.5000
3 Pt 0.7500 0.7500 0.7500
4 Se 0.2500 0.2500 0.2500

Summary:
Size of the total moment, μB per formula unit: 0.0
Relative energy among the computed polymorphs, eV/atom: 0.5174
Uncorrected formation energy, eV/atom: 0.25

=====

Computed, not measured: a relaxed Sb3PtSe crystal at the PBE-GGA level of DFT.

abc: 5.2783 5.2783 5.2783
angles: 90.00 90.00 90.00
Sites, in units of the cell vectors:
1 Sb 0.0000 0.0000 0.5000
2 Sb 0.0000 0.5000 0.0000
3 Sb 0.5000 0.0000 0.0000
4 Pt 0.5000 0.5000 0.5000
5 Se 0.0000 0.0000 0.0000

Summary:
Size of the total moment, μB per formula unit: 0.0
Relative energy among the computed polymorphs, eV/atom: 0.5681
Uncorrected formation energy, eV/atom: 1.00

=====

Computed, not measured: a relaxed Sb2PtSe2 crystal at the PBE-GGA level of DFT.

abc: 6.6535 6.6535 5.7136
angles: 90.00 90.00 90.00
Sites, in units of the cell vectors:
1 Sb 0.2222 0.2778 0.0000
2 Sb 0.2778 0.7778 0.0000
3 Sb 0.7222 0.2222 0.0000
4 Sb 0.7778 0.7222 0.0000
5 Pt 0.0000 0.0000 0.5000
6 Pt 0.5000 0.5000 0.5000
7 Se 0.1657 0.3343 0.5000
8 Se 0.3343 0.8343 0.5000
9 Se 0.6657 0.1657 0.5000
10 Se 0.8343 0.6657 0.5000

Summary:
Size of the total moment, μB per formula unit: 0.0
Relative energy among the computed polymorphs, eV/atom: 0.0000
Uncorrected formation energy, eV/atom: 0.05

=====

What did the fourth record say?
Computed, not measured: a relaxed SbPt2Se crystal at the PBE-GGA level of DFT.

abc: 4.7462 4.7462 4.7462
angles: 60.00 60.00 60.00
Sites, in units of the cell vectors:
1 Sb 0.0000 0.0000 0.0000
2 Pt 0.5000 0.5000 0.5000
3 Pt 0.7500 0.7500 0.7500
4 Se 0.2500 0.2500 0.2500

Summary:
Size of the total moment, μB per formula unit: 0.0
Relative energy among the computed polymorphs, eV/atom: 0.5174
Uncorrected formation energy, eV/atom: 0.25

=====

Question: Which value of uncorrected formation energy does entry 6 give?
Answer: 0.05 eV/atom